[1]
AlPtCl: relaxed, GGA-PBE.

a = 3.3441 Å, b = 3.3441 Å, c = 6.0442 Å
α = 90.00°, β = 90.00°, γ = 120.00°
With the nearest neighbours (Å) after each atom.
Fractional coordinates of all 3 atoms:
Al 0.0000 0.0000 0.9869  3 Pt 2.41, 3 Cl 2.56
Pt 0.6667 0.3333 0.7491  3 Al 2.41
Cl 0.3333 0.6667 0.2641  3 Al 2.56

Its electronic total energy is -13.634 eV for the cell shown. The calculation puts the spin magnetization at 0.00 μB/atom. The value obtained for the density of states at the Fermi level is 0.524 states/eV per cell.

***

[2]
ZrFe3Si3: relaxed, GGA-PBE.

a = 6.1572 Å, b = 6.1572 Å, c = 6.1572 Å
α = 90.00°, β = 90.00°, γ = 90.00°
With the nearest neighbours (Å) after each atom.
Fractional coordinates of all 14 atoms:
Si 0.0000 0.2500 0.5000  4 Fe 2.18
Si 0.0000 0.7500 0.5000  4 Fe 2.18
Si 0.5000 0.0000 0.7500  4 Fe 2.18
Si 0.7500 0.5000 0.0000  4 Fe 2.18
Si 0.5000 0.0000 0.2500  4 Fe 2.18
Si 0.2500 0.5000 0.0000  4 Fe 2.18
Fe 0.2500 0.0000 0.5000  4 Si 2.18
Fe 0.0000 0.5000 0.2500  4 Si 2.18
Fe 0.5000 0.7500 0.0000  4 Si 2.18
Fe 0.7500 0.0000 0.5000  4 Si 2.18
Fe 0.0000 0.5000 0.7500  4 Si 2.18
Fe 0.5000 0.2500 0.0000  4 Si 2.18
Zr 0.5000 0.5000 0.5000  12 Fe 3.44, 12 Si 3.44
Zr 0.0000 0.0000 0.0000  12 Fe 3.44, 12 Si 3.44

Its electronic total energy is -95.798 eV for the cell shown. The calculation puts the spin magnetization at 0.58 μB/atom. The value obtained for the density of states at the Fermi level is 16.311 states/eV per cell.

***

[3]
NaBi2TeW: relaxed, GGA-PBE.

a = 5.2997 Å, b = 5.2724 Å, c = 5.2997 Å
α = 90.00°, β = 90.00°, γ = 90.00°
With the nearest neighbours (Å) after each atom.
Fractional coordinates of all 5 atoms:
Na 0.0000 0.0000 0.0000  2 Te 2.64, 4 Bi 2.65
Te 0.0000 0.5000 0.0000  2 Na 2.64
Bi 0.0000 0.0000 0.5000  2 Na 2.65
Bi 0.5000 0.0000 0.0000  2 Na 2.65
W 0.5000 0.5000 0.5000  8 Bi 3.74, 4 Te 3.75

Its electronic total energy is -16.269 eV for the cell shown. The calculation puts the spin magnetization at 0.01 μB/atom. The value obtained for the density of states at the Fermi level is 7.849 states/eV per cell.

***

[4]
Tb2YSc: relaxed, GGA-PBE.

a = 6.9587 Å, b = 6.9591 Å, c = 13.9066 Å
α = 119.69°, β = 119.69°, γ = 60.25°
With the nearest neighbours (Å) after each atom.
Fractional coordinates of all 16 atoms:
Tb 0.7505 0.0022 0.8787  3 Sc 3.43-3.50, 6 Tb 3.44-3.56, 3 Y 3.46-3.52
Tb 0.2495 0.9978 0.1213  3 Sc 3.43-3.50, 6 Tb 3.44-3.56, 3 Y 3.46-3.52
Tb 0.7499 0.4977 0.6213  3 Sc 3.43-3.50, 6 Tb 3.44-3.56, 3 Y 3.46-3.52
Tb 0.2501 0.5023 0.3787  3 Sc 3.43-3.50, 6 Tb 3.44-3.56, 3 Y 3.46-3.52
Tb 0.7520 0.5004 0.1288  3 Sc 3.43-3.50, 6 Tb 3.44-3.56, 3 Y 3.46-3.52
Tb 0.2480 0.4996 0.8712  3 Sc 3.43-3.50, 6 Tb 3.44-3.56, 3 Y 3.46-3.52
Tb 0.7476 0.9998 0.3713  3 Sc 3.43-3.50, 6 Tb 3.44-3.56, 3 Y 3.46-3.52
Tb 0.2524 0.0002 0.6287  3 Sc 3.43-3.50, 6 Tb 3.44-3.56, 3 Y 3.46-3.52
Y 0.2468 0.0031 0.3750  6 Tb 3.46-3.52, 4 Sc 3.46-3.52, 2 Y 3.52
Y 0.7532 0.9969 0.6250  6 Tb 3.46-3.52, 4 Sc 3.46-3.52, 2 Y 3.52
Y 0.2529 0.4969 0.1250  6 Tb 3.46-3.52, 4 Sc 3.46-3.52, 2 Y 3.51-3.52
Y 0.7471 0.5031 0.8750  6 Tb 3.46-3.52, 4 Sc 3.46-3.52, 2 Y 3.51-3.52
Sc 0.2487 0.5014 0.6251  6 Tb 3.43-3.50, 4 Y 3.46-3.52, 2 Sc 3.48-3.49
Sc 0.7513 0.4986 0.3749  6 Tb 3.43-3.50, 4 Y 3.46-3.52, 2 Sc 3.48-3.49
Sc 0.2517 0.9983 0.8750  6 Tb 3.43-3.50, 4 Y 3.46-3.52, 2 Sc 3.48
Sc 0.7483 0.0017 0.1250  6 Tb 3.43-3.50, 4 Y 3.46-3.52, 2 Sc 3.48

As for the formation energy: 0.045 eV/atom. The calculation puts the spin magnetization at 0.00 μB/atom. The value obtained for the density of states at the Fermi level is 23.933 states/eV per cell.

***

[5]
Mg2Sc: relaxed, GGA-PBE.

a = 7.1167 Å, b = 7.1167 Å, c = 7.1167 Å
α = 90.00°, β = 90.00°, γ = 90.00°
With the nearest neighbours (Å) after each atom.
Fractional coordinates of all 12 atoms:
Sc 0.0000 0.0000 0.0000  6 Mg 2.95
Sc 0.5000 0.5000 0.0000  6 Mg 2.95
Sc 0.5000 0.0000 0.5000  6 Mg 2.95
Sc 0.0000 0.5000 0.5000  6 Mg 2.95
Mg 0.6240 0.6240 0.3760  3 Sc 2.95, 1 Mg 3.06
Mg 0.3760 0.3760 0.6240  3 Sc 2.95, 1 Mg 3.06
Mg 0.1240 0.8760 0.6240  3 Sc 2.95, 1 Mg 3.06
Mg 0.8760 0.1240 0.3760  3 Sc 2.95, 1 Mg 3.06
Mg 0.3760 0.1240 0.1240  3 Sc 2.95, 1 Mg 3.06
Mg 0.6240 0.8760 0.8760  3 Sc 2.95, 1 Mg 3.06
Mg 0.8760 0.3760 0.8760  3 Sc 2.95, 1 Mg 3.06
Mg 0.1240 0.6240 0.1240  3 Sc 2.95, 1 Mg 3.06

As for the formation energy: 0.782 eV/atom. The calculation puts the spin magnetization at 0.16 μB/atom. The value obtained for the density of states at the Fermi level is 15.133 states/eV per cell.

***

[6]
CaBrOF2: relaxed, GGA-PBE.

a = 4.3914 Å, b = 4.3914 Å, c = 4.9628 Å
α = 90.00°, β = 90.00°, γ = 90.00°
With the nearest neighbours (Å) after each atom.
Fractional coordinates of all 5 atoms:
Ca 0.0000 0.0000 0.0000  4 F 2.20
O 0.0000 0.0000 0.5000  2 Ca 2.48
Br 0.5000 0.5000 0.5000  4 O 3.11, 8 F 3.31
F 0.0000 0.5000 0.0000  2 Ca 2.20
F 0.5000 0.0000 0.0000  2 Ca 2.20

Its electronic total energy is -20.024 eV for the cell shown. The calculation puts the spin magnetization at 0.60 μB/atom. The value obtained for the density of states at the Fermi level is 0.422 states/eV per cell.

***

[7]
NaEuPdPt: relaxed, GGA-PBE.

a = 4.9242 Å, b = 4.9242 Å, c = 4.9242 Å
α = 60.00°, β = 60.00°, γ = 60.00°
With the nearest neighbours (Å) after each atom.
Fractional coordinates of all 4 atoms:
Eu 0.0000 0.0000 0.0000  4 Pt 3.02, 4 Pd 3.02
Na 0.5000 0.5000 0.5000  4 Pd 3.02, 4 Pt 3.02
Pd 0.7500 0.7500 0.7500  4 Eu 3.02, 4 Na 3.02
Pt 0.2500 0.2500 0.2500  4 Na 3.02, 4 Eu 3.02

As for the formation energy: -0.388 eV/atom. The calculation puts the spin magnetization at 1.69 μB/atom. The value obtained for the density of states at the Fermi level is 13.300 states/eV per cell.

***

[8]
HfP2H: relaxed, GGA-PBE.

a = 4.3827 Å, b = 4.3827 Å, c = 4.3827 Å
α = 60.00°, β = 60.00°, γ = 60.00°
With the nearest neighbours (Å) after each atom.
Fractional coordinates of all 4 atoms:
P 0.2500 0.2500 0.2500  4 Hf 2.68, 4 H 2.68
P 0.7500 0.7500 0.7500  4 Hf 2.68, 4 H 2.68
Hf 0.5000 0.5000 0.5000  8 P 2.68
H 0.0000 0.0000 0.0000  8 P 2.68

Its electronic total energy is -23.073 eV for the cell shown. The calculation puts the spin magnetization at 0.24 μB/atom. The value obtained for the density of states at the Fermi level is 2.693 states/eV per cell.

***

[9]
Pm5NdNi2: relaxed, GGA-PBE.

a = 4.8273 Å, b = 7.8520 Å, c = 7.8520 Å
α = 57.29°, β = 72.10°, γ = 72.10°
With the nearest neighbours (Å) after each atom.
Fractional coordinates of all 8 atoms:
Pm 0.0000 0.5000 0.5000  2 Ni 2.66
Pm 0.6510 0.5814 0.1166  1 Ni 2.73
Pm 0.3490 0.4186 0.8834  1 Ni 2.73
Pm 0.3490 0.8834 0.4186  1 Ni 2.73
Pm 0.6510 0.1166 0.5814  1 Ni 2.73
Nd 0.0000 0.0000 0.0000  10 Pm 3.70-3.76
Ni 0.7941 0.7059 0.7059  3 Pm 2.66-2.73
Ni 0.2059 0.2941 0.2941  3 Pm 2.66-2.73

As for the formation energy: -0.070 eV/atom. The calculation puts the spin magnetization at 0.00 μB/atom. The value obtained for the density of states at the Fermi level is 7.704 states/eV per cell.

***

[10]
AcDyInGe: relaxed, GGA-PBE.

a = 5.4490 Å, b = 5.4490 Å, c = 5.4490 Å
α = 60.00°, β = 60.00°, γ = 60.00°
With the nearest neighbours (Å) after each atom.
Fractional coordinates of all 4 atoms:
Ac 0.5000 0.5000 0.5000  4 Ge 3.34, 4 In 3.34
In 0.7500 0.7500 0.7500  4 Ac 3.34, 4 Dy 3.34
Ge 0.2500 0.2500 0.2500  4 Ac 3.34, 4 Dy 3.34
Dy 0.0000 0.0000 0.0000  4 Ge 3.34, 4 In 3.34

As for the formation energy: -0.425 eV/atom. The calculation puts the spin magnetization at 0.00 μB/atom. The value obtained for the density of states at the Fermi level is 2.915 states/eV per cell.

***

[11]
AlCuS2: relaxed, GGA-PBE.

a = 5.3301 Å, b = 5.3301 Å, c = 6.4808 Å
α = 65.72°, β = 65.72°, γ = 90.00°
With the nearest neighbours (Å) after each atom.
Fractional coordinates of all 8 atoms:
S 0.6183 0.1250 0.2500  2 Al 2.28, 2 Cu 2.32
S 0.1317 0.6250 0.2500  2 Al 2.28, 2 Cu 2.32
S 0.3750 0.3817 0.7500  2 Al 2.28, 2 Cu 2.32
S 0.8750 0.8683 0.7500  2 Al 2.28, 2 Cu 2.32
Al 0.5000 0.5000 0.0000  4 S 2.28
Al 0.2500 0.7500 0.5000  4 S 2.28
Cu 0.0000 0.0000 0.0000  4 S 2.32
Cu 0.7500 0.2500 0.5000  4 S 2.32

Its electronic total energy is -38.705 eV for the cell shown. The calculation puts the spin magnetization at 0.00 μB/atom. The value obtained for the density of states at the Fermi level is 0.000 states/eV per cell.

***

[12]
Dy2ErPaAs4: relaxed, GGA-PBE.

a = 4.1062 Å, b = 7.0860 Å, c = 7.0961 Å
α = 109.48°, β = 90.00°, γ = 90.00°
With the nearest neighbours (Å) after each atom.
Fractional coordinates of all 8 atoms:
Dy 0.5000 0.0000 0.5000  6 As 2.91-2.92
Dy 0.0000 0.5000 0.5000  6 As 2.90-2.91
Er 0.0000 0.0000 0.0000  6 As 2.89
Pa 0.5000 0.5000 0.0000  6 As 2.87-2.89
As 0.5000 0.2506 0.2460  1 Pa 2.87, 2 Er 2.89, 3 Dy 2.91-2.92
As 0.5000 0.7494 0.7540  1 Pa 2.87, 2 Er 2.89, 3 Dy 2.91-2.92
As 0.0000 0.2510 0.7526  1 Er 2.89, 2 Pa 2.89, 3 Dy 2.90-2.91
As 0.0000 0.7490 0.2474  1 Er 2.89, 2 Pa 2.89, 3 Dy 2.90-2.91

As for the formation energy: -1.413 eV/atom. The calculation puts the spin magnetization at 0.00 μB/atom. The value obtained for the density of states at the Fermi level is 5.334 states/eV per cell.